VASP calculation (GGA-PBE) on a geometry-optimized LiGdErMg structure.

Calculated values
Density in Mg/m³: 5.6
Symmetry: F-43m, No. 216
Total magnetic moment in μB/f.u.: 7.99
ΔE_f in meV/atom: 33

Structure (extended XYZ):
```
4
Lattice="5.312 0.000 0.000 2.656 4.601 0.000 2.656 1.534 4.338" Properties=species:S:1:pos:R:3 pbc="T T T"
Li 0.000 0.000 0.000
Er 2.656 1.534 1.084
Gd 7.969 4.601 3.253
Mg 5.312 3.067 2.169
```



VASP calculation (GGA-PBE) on a geometry-optimized LiGdErMn structure.

Calculated values
Density in Mg/m³: 7.2
Symmetry: F-43m, No. 216
Total magnetic moment in μB/f.u.: 4.60
ΔE_f in meV/atom: 107

Structure (extended XYZ):
```
4
Lattice="5.021 0.000 0.000 2.510 4.348 0.000 2.510 1.449 4.100" Properties=species:S:1:pos:R:3 pbc="T T T"
Mn 2.510 1.449 1.025
Li 7.531 4.348 3.075
Er 0.000 0.000 0.000
Gd 5.021 2.899 2.050
```



VASP calculation (GGA-PBE) on a geometry-optimized LiGdErMo structure.

Calculated values
Density in Mg/m³: 8.0
Symmetry: F-43m, No. 216
Total magnetic moment in μB/f.u.: 6.41
ΔE_f in meV/atom: 258

Structure (extended XYZ):
```
4
Lattice="-0.659 -1.763 4.629 -3.310 -3.649 0.836 1.586 -4.591 1.174" Properties=species:S:1:pos:R:3 pbc="T T T"
Gd 0.000 0.000 0.000
Li -1.787 -7.502 4.979
Er -1.191 -5.002 3.319
Mo -0.596 -2.501 1.660
```



VASP calculation (GGA-PBE) on a geometry-optimized LiNdGdEr structure.

Calculated values
Density in Mg/m³: 6.6
Symmetry: F-43m, No. 216
Total magnetic moment in μB/f.u.: 7.30
ΔE_f in meV/atom: 156

Structure (extended XYZ):
```
4
Lattice="5.532 0.000 0.000 2.766 4.791 0.000 2.766 1.597 4.517" Properties=species:S:1:pos:R:3 pbc="T T T"
Nd 8.298 4.791 3.388
Li 0.000 0.000 0.000
Gd 2.766 1.597 1.129
Er 5.532 3.194 2.258
```



VASP calculation (GGA-PBE) on a geometry-optimized LiGdErPd structure.

Calculated values
Density in Mg/m³: 8.1
Symmetry: F-43m, No. 216
Total magnetic moment in μB/f.u.: 7.18
ΔE_f in meV/atom: -405

Structure (extended XYZ):
```
4
Lattice="-4.240 1.378 -2.330 -3.629 -3.383 -0.826 -4.314 0.260 2.573" Properties=species:S:1:pos:R:3 pbc="T T T"
Pd -6.092 -0.873 -0.292
Li 0.000 0.000 0.000
Er -9.137 -1.309 -0.437
Gd -3.046 -0.436 -0.146
```



VASP calculation (GGA-PBE) on a geometry-optimized LiPmGdEr structure.

Calculated values
Density in Mg/m³: 6.7
Symmetry: F-43m, No. 216
Total magnetic moment in μB/f.u.: 7.28
ΔE_f in meV/atom: 158

Structure (extended XYZ):
```
4
Lattice="5.519 0.000 0.000 2.759 4.779 0.000 2.759 1.593 4.506" Properties=species:S:1:pos:R:3 pbc="T T T"
Er 5.519 3.186 2.253
Li 0.000 0.000 0.000
Gd 2.759 1.593 1.127
Pm 8.278 4.779 3.380
```



VASP calculation (GGA-PBE) on a geometry-optimized LiGdErRe structure.

Calculated values
Density in Mg/m³: 10.2
Symmetry: F-43m, No. 216
Total magnetic moment in μB/f.u.: 7.03
ΔE_f in meV/atom: 64

Structure (extended XYZ):
```
4
Lattice="4.918 0.000 0.000 2.459 4.259 0.000 2.459 1.420 4.016" Properties=species:S:1:pos:R:3 pbc="T T T"
Gd 2.459 1.420 1.004
Er 7.378 4.259 3.012
Re 4.918 2.840 2.008
Li 0.000 0.000 0.000
```



VASP calculation (GGA-PBE) on a geometry-optimized LiGdErRh structure.

Calculated values
Density in Mg/m³: 8.5
Symmetry: F-43m, No. 216
Total magnetic moment in μB/f.u.: 7.15
ΔE_f in meV/atom: -475

Structure (extended XYZ):
```
4
Lattice="4.934 0.000 0.000 2.467 4.273 0.000 2.467 1.424 4.028" Properties=species:S:1:pos:R:3 pbc="T T T"
Gd 0.000 0.000 0.000
Rh 7.401 4.273 3.021
Li 2.467 1.424 1.007
Er 4.934 2.848 2.014
```